No. 1
First-principles (GGA-PBE) data for crystalline Ga2Pb2Se5 at its relaxed geometry, as listed in the Alexandria database.

Cell lengths 8.104, 8.104, 10.204 Å; angles 118.43, 118.43, 29.47 degrees
Positions (direct):
Ga: 0.215 0.215 0.098
Ga: 0.785 0.785 0.902
Pb: 0.410 0.410 0.596
Pb: 0.590 0.590 0.404
Se: 0.000 0.000 0.500
Se: 0.214 0.214 0.326
Se: 0.364 0.364 0.068
Se: 0.636 0.636 0.932
Se: 0.786 0.786 0.674

Properties
Raw formation energy ... -0.493 eV/atom
DOS at the Fermi energy ... 0.02 states/eV/atom
Symmetry ... C2/m

---

No. 2
First-principles (GGA-PBE) data for crystalline GaPb3Se at its relaxed geometry, as listed in the Alexandria database.

Cell lengths 5.505, 5.505, 5.505 Å; angles 90.00, 90.00, 90.00 degrees
Positions (direct):
Ga: 0.000 0.000 0.000
Pb: 0.000 0.000 0.500
Pb: 0.000 0.500 0.000
Pb: 0.500 0.000 0.000
Se: 0.500 0.500 0.500

Properties
Raw formation energy ... 0.308 eV/atom
ΔE to the lowest computed polymorph ... 0.0000 eV/atom
DOS at the Fermi energy ... 0.38 states/eV/atom
Symmetry ... Pm-3m

---

No. 3
First-principles (GGA-PBE) data for crystalline GaPbSe2 at its relaxed geometry, as listed in the Alexandria database.

Cell lengths 3.700, 3.700, 26.939 Å; angles 90.00, 90.00, 120.00 degrees
Positions (direct):
Ga: 0.000 0.000 0.000
Ga: 0.333 0.667 0.667
Ga: 0.667 0.333 0.333
Pb: 0.000 0.000 0.500
Pb: 0.333 0.667 0.167
Pb: 0.667 0.333 0.833
Se: 0.000 0.000 0.388
Se: 0.000 0.000 0.612
Se: 0.333 0.667 0.055
Se: 0.333 0.667 0.279
Se: 0.667 0.333 0.721
Se: 0.667 0.333 0.945

Properties
Raw formation energy ... -0.318 eV/atom
DOS at the Fermi energy ... 0.55 states/eV/atom
Symmetry ... R-3m

---

No. 4
First-principles (GGA-PBE) data for crystalline Ga2PbSe2 at its relaxed geometry, as listed in the Alexandria database.

Cell lengths 5.167, 5.167, 8.856 Å; angles 90.00, 90.00, 90.00 degrees
Positions (direct):
Ga: 0.000 0.000 0.144
Ga: 0.000 0.000 0.856
Ga: 0.500 0.500 0.356
Ga: 0.500 0.500 0.644
Pb: 0.000 0.000 0.500
Pb: 0.500 0.500 0.000
Se: 0.000 0.500 0.250
Se: 0.000 0.500 0.750
Se: 0.500 0.000 0.250
Se: 0.500 0.000 0.750

Properties
Raw formation energy ... -0.208 eV/atom
ΔE to the lowest computed polymorph ... 0.0000 eV/atom
DOS at the Fermi energy ... 0.37 states/eV/atom
Symmetry ... I4/mmm

---

No. 5
First-principles (GGA-PBE) data for crystalline GaPb2Se4 at its relaxed geometry, as listed in the Alexandria database.

Cell lengths 7.444, 6.073, 9.125 Å; angles 90.00, 106.56, 90.00 degrees
Positions (direct):
Ga: 0.236 0.250 0.304
Ga: 0.764 0.750 0.696
Pb: 0.247 0.750 0.052
Pb: 0.280 0.750 0.579
Pb: 0.720 0.250 0.421
Pb: 0.753 0.250 0.948
Se: 0.023 0.017 0.775
Se: 0.023 0.483 0.775
Se: 0.400 0.250 0.571
Se: 0.429 0.250 0.130
Se: 0.571 0.750 0.870
Se: 0.600 0.750 0.429
Se: 0.977 0.517 0.225
Se: 0.977 0.983 0.225

Properties
Raw formation energy ... -0.452 eV/atom
DOS at the Fermi energy ... 0.21 states/eV/atom
Symmetry ... P2_1/m

---

No. 6
First-principles (GGA-PBE) data for crystalline Ga2PbSe2 at its relaxed geometry, as listed in the Alexandria database.

Cell lengths 8.601, 8.601, 3.711 Å; angles 90.00, 90.00, 90.00 degrees
Positions (direct):
Ga: 0.112 0.388 0.000
Ga: 0.388 0.888 0.000
Ga: 0.612 0.112 0.000
Ga: 0.888 0.612 0.000
Pb: 0.000 0.000 0.500
Pb: 0.500 0.500 0.500
Se: 0.243 0.743 0.500
Se: 0.257 0.243 0.500
Se: 0.743 0.757 0.500
Se: 0.757 0.257 0.500

Properties
Raw formation energy ... -0.190 eV/atom
ΔE to the lowest computed polymorph ... 0.0179 eV/atom
DOS at the Fermi energy ... 0.54 states/eV/atom
Symmetry ... P4/mbm